{"formula": "La7SbS5", "functional": "PBE-GGA", "state": "optimized geometry", "vol_a3_per_atom": 27.71, "energy_ev_per_atom": -6.404, "space_group": "No. 2", "formation_energy_uncorrected_ev_per_atom": -1.846, "magnetic_moment_mub_per_atom": 0.04, "lattice_angstrom": [[4.230, 0.000, 0.000], [-2.108, 6.851, 0.000], [0.000, -0.008, 24.858]], "species": ["La", "La", "La", "La", "La", "La", "La", "La", "La", "La", "La", "La", "La", "La", "Sb", "Sb", "S", "S", "S", "S", "S", "S", "S", "S", "S", "S"], "frac_coords": [[0.023, 0.046, 0.250], [0.136, 0.271, 0.536], [0.136, 0.272, 0.964], [0.322, 0.643, 0.173], [0.322, 0.643, 0.327], [0.407, 0.815, 0.610], [0.408, 0.815, 0.890], [0.592, 0.185, 0.110], [0.593, 0.185, 0.390], [0.678, 0.357, 0.673], [0.678, 0.357, 0.827], [0.864, 0.728, 0.036], [0.864, 0.729, 0.464], [0.977, 0.954, 0.750], [0.301, 0.601, 0.750], [0.699, 0.399, 0.250], [0.043, 0.086, 0.859], [0.044, 0.088, 0.641], [0.226, 0.452, 0.430], [0.227, 0.454, 0.070], [0.500, 0.000, 0.000], [0.500, 0.000, 0.500], [0.773, 0.546, 0.930], [0.774, 0.548, 0.570], [0.956, 0.912, 0.359], [0.957, 0.914, 0.141]]}